(1)
First-principles (GGA-PBE) data for a relaxed structure of Ac2PrSi4, as listed in the Alexandria database.

DOS(E_F) = 0.7741 states/eV/atom
Total DFT energy (no corrections) = -5.533 eV/atom
ΔE_f (raw) = -56 kJ/mol of atoms

a b c (Å): 9.880 9.880 9.880
angles (deg): 156.13 153.15 36.22
Atoms (fractional coordinates):
Ac 0.182 0.182 0.000
Ac 0.818 0.818 0.000
Pr 0.000 0.500 0.500
Si 0.366 0.366 0.000
Si 0.437 0.937 0.500
Si 0.563 0.063 0.500
Si 0.634 0.634 0.000

***

(2)
First-principles (GGA-PBE) data for a relaxed structure of ReMo3Br, as listed in the Alexandria database.

DOS(E_F) = 1.1709 states/eV/atom
Total DFT energy (no corrections) = -7.390 eV/atom
ΔE_f (raw) = 187 kJ/mol of atoms

a b c (Å): 4.520 4.520 4.520
angles (deg): 90.00 90.00 90.00
Atoms (fractional coordinates):
Re 0.000 0.000 0.000
Mo 0.000 0.500 0.500
Mo 0.500 0.000 0.500
Mo 0.500 0.500 0.000
Br 0.500 0.500 0.500

***

(3)
First-principles (GGA-PBE) data for a relaxed structure of Sr8ZnIr2, as listed in the Alexandria database.

DOS(E_F) = 0.7180 states/eV/atom
Energy of formation from the pure elements = 0.0721 eV per atom
Total DFT energy (no corrections) = -2.878 eV/atom

a b c (Å): 9.670 9.670 6.216
angles (deg): 90.00 90.00 120.00
Atoms (fractional coordinates):
Sr 0.166 0.334 0.248
Sr 0.168 0.834 0.248
Sr 0.333 0.667 0.748
Sr 0.334 0.168 0.752
Sr 0.666 0.832 0.248
Sr 0.667 0.333 0.252
Sr 0.832 0.166 0.752
Sr 0.834 0.666 0.752
Zn 0.000 0.000 0.500
Ir 0.333 0.667 0.251
Ir 0.667 0.333 0.749

***

(4)
First-principles (GGA-PBE) data for a relaxed structure of LiNdCdPt, as listed in the Alexandria database.

DOS(E_F) = 0.8932 states/eV/atom
Energy of formation from the pure elements = -0.5722 eV per atom
Total DFT energy (no corrections) = -3.982 eV/atom

a b c (Å): 4.899 4.899 4.899
angles (deg): 60.00 60.00 60.00
Atoms (fractional coordinates):
Li 0.000 0.000 0.000
Nd 0.250 0.250 0.250
Cd 0.750 0.750 0.750
Pt 0.500 0.500 0.500

***

(5)
First-principles (GGA-PBE) data for a relaxed structure of La2MgZr, as listed in the Alexandria database.

DOS(E_F) = 1.5885 states/eV/atom
Energy of formation from the pure elements = 0.2244 eV per atom
Total DFT energy (no corrections) = -4.775 eV/atom

a b c (Å): 6.629 6.629 6.629
angles (deg): 148.98 128.51 61.34
Atoms (fractional coordinates):
La 0.242 0.242 0.000
La 0.758 0.758 0.000
Mg 0.500 0.000 0.500
Zr 0.000 0.500 0.500

***

(6)
First-principles (GGA-PBE) data for a relaxed structure of TcAg2W, as listed in the Alexandria database.

DOS(E_F) = 0.9728 states/eV/atom
Energy of formation from the pure elements = 0.9415 eV per atom
Total DFT energy (no corrections) = -6.314 eV/atom

a b c (Å): 3.500 3.500 5.388
angles (deg): 90.00 90.00 90.00
Atoms (fractional coordinates):
Tc 0.000 0.000 0.000
Ag 0.500 0.500 0.249
Ag 0.500 0.500 0.751
W 0.000 0.000 0.500

***

(7)
First-principles (GGA-PBE) data for a relaxed structure of SmPaIn6, as listed in the Alexandria database.

DOS(E_F) = 0.8440 states/eV/atom
Energy of formation from the pure elements = -0.2976 eV per atom
Total DFT energy (no corrections) = -4.128 eV/atom

a b c (Å): 4.662 4.662 9.315
angles (deg): 90.00 90.00 90.00
Atoms (fractional coordinates):
Sm 0.000 0.000 0.000
Pa 0.000 0.000 0.500
In 0.000 0.500 0.252
In 0.000 0.500 0.748
In 0.500 0.000 0.252
In 0.500 0.000 0.748
In 0.500 0.500 0.000
In 0.500 0.500 0.500

***

(8)
First-principles (GGA-PBE) data for a relaxed structure of NiSb5, as listed in the Alexandria database.

DOS(E_F) = 0.4194 states/eV/atom
Total DFT energy (no corrections) = -4.245 eV/atom
ΔE_f (raw) = 15 kJ/mol of atoms

a b c (Å): 3.169 3.169 14.870
angles (deg): 90.00 90.00 90.00
Atoms (fractional coordinates):
Ni 0.000 0.000 0.000
Sb 0.000 0.000 0.321
Sb 0.000 0.000 0.679
Sb 0.500 0.500 0.111
Sb 0.500 0.500 0.500
Sb 0.500 0.500 0.889

***

(9)
First-principles (GGA-PBE) data for a relaxed structure of MnCuW2, as listed in the Alexandria database.

DOS(E_F) = 0.7003 states/eV/atom
Energy of formation from the pure elements = 0.3282 eV per atom
Total DFT energy (no corrections) = -9.465 eV/atom

a b c (Å): 5.006 5.006 5.006
angles (deg): 144.25 129.53 63.38
Atoms (fractional coordinates):
Mn 0.000 0.000 0.000
Cu 0.754 0.254 0.500
W 0.230 0.730 0.500
W 0.486 0.486 0.000

***

(10)
First-principles (GGA-PBE) data for a relaxed structure of TcTe2HN, as listed in the Alexandria database.

DOS(E_F) = 0.9689 states/eV/atom
Total DFT energy (no corrections) = -4.501 eV/atom

a b c (Å): 5.052 5.052 2.896
angles (deg): 90.00 90.00 90.00
Atoms (fractional coordinates):
Tc 0.000 0.000 0.000
Te 0.000 0.500 0.500
Te 0.500 0.000 0.500
H 0.500 0.500 0.500
N 0.500 0.500 0.000

***

(11)
First-principles (GGA-PBE) data for a relaxed structure of CrAs2HSe, as listed in the Alexandria database.

DOS(E_F) = 1.1454 states/eV/atom
Total DFT energy (no corrections) = -4.348 eV/atom

a b c (Å): 3.855 3.855 5.068
angles (deg): 90.00 90.00 90.00
Atoms (fractional coordinates):
Cr 0.000 0.000 0.000
As 0.000 0.500 0.500
As 0.500 0.000 0.500
H 0.500 0.500 0.500
Se 0.500 0.500 0.000

***

(12)
First-principles (GGA-PBE) data for a relaxed structure of Hg2OsRu2, as listed in the Alexandria database.

DOS(E_F) = 1.2328 states/eV/atom
Energy of formation from the pure elements = 1.3089 eV per atom
Total DFT energy (no corrections) = -4.768 eV/atom

a b c (Å): 7.505 7.505 7.505
angles (deg): 151.67 151.67 40.49
Atoms (fractional coordinates):
Hg 0.250 0.750 0.500
Hg 0.750 0.250 0.500
Os 0.000 0.000 0.000
Ru 0.415 0.415 0.000
Ru 0.585 0.585 0.000

***

(13)
First-principles (GGA-PBE) data for a relaxed structure of Li6NiAu, as listed in the Alexandria database.

DOS(E_F) = 0.3268 states/eV/atom
Energy of formation from the pure elements = -0.1369 eV per atom
Total DFT energy (no corrections) = -2.705 eV/atom

a b c (Å): 4.931 4.932 4.933
angles (deg): 91.01 90.34 91.17
Atoms (fractional coordinates):
Li 0.001 0.253 0.000
Li 0.247 0.999 0.500
Li 0.499 0.501 0.253
Li 0.501 0.499 0.747
Li 0.753 0.001 0.500
Li 0.999 0.747 0.000
Ni 0.000 0.500 0.500
Au 0.500 0.000 0.000

***

(14)
First-principles (GGA-PBE) data for a relaxed structure of PmPrRuC, as listed in the Alexandria database.

DOS(E_F) = 0.3969 states/eV/atom
Energy of formation from the pure elements = -0.0861 eV per atom
Total DFT energy (no corrections) = -7.094 eV/atom

a b c (Å): 5.557 5.557 5.557
angles (deg): 144.02 125.30 67.23
Atoms (fractional coordinates):
Pm 0.000 0.000 0.000
Pr 0.663 0.663 0.000
Ru 0.331 0.331 0.000
C 0.435 0.935 0.500

***

(15)
First-principles (GGA-PBE) data for a relaxed structure of LiNdAlAu2, as listed in the Alexandria database.

DOS(E_F) = 0.7611 states/eV/atom
Energy of formation from the pure elements = -0.6520 eV per atom
Total DFT energy (no corrections) = -4.048 eV/atom

a b c (Å): 6.792 6.792 6.792
angles (deg): 144.91 144.91 50.46
Atoms (fractional coordinates):
Li 0.000 0.000 0.000
Nd 0.750 0.250 0.500
Al 0.500 0.500 0.000
Au 0.133 0.633 0.500
Au 0.367 0.867 0.500

***

(16)
First-principles (GGA-PBE) data for a relaxed structure of CaGa4NiRh2, as listed in the Alexandria database.

DOS(E_F) = 0.6795 states/eV/atom
Energy of formation from the pure elements = -0.5406 eV per atom
Total DFT energy (no corrections) = -4.865 eV/atom

a b c (Å): 9.234 9.234 9.234
angles (deg): 26.29 26.29 26.29
Atoms (fractional coordinates):
Ca 0.000 0.000 0.000
Ga 0.134 0.134 0.134
Ga 0.404 0.404 0.404
Ga 0.596 0.596 0.596
Ga 0.866 0.866 0.866
Ni 0.500 0.500 0.500
Rh 0.231 0.231 0.231
Rh 0.769 0.769 0.769

***

(17)
First-principles (GGA-PBE) data for a relaxed structure of LaAs3Ir, as listed in the Alexandria database.

DOS(E_F) = 1.3141 states/eV/atom
Energy of formation from the pure elements = 1.6575 eV per atom
Total DFT energy (no corrections) = -3.890 eV/atom

a b c (Å): 5.457 5.457 5.457
angles (deg): 90.00 90.00 90.00
Atoms (fractional coordinates):
La 0.000 0.000 0.000
As 0.000 0.000 0.500
As 0.000 0.500 0.000
As 0.500 0.000 0.000
Ir 0.500 0.500 0.500

***

(18)
First-principles (GGA-PBE) data for a relaxed structure of Li2NiRu, as listed in the Alexandria database.

DOS(E_F) = 0.4753 states/eV/atom
Energy of formation from the pure elements = 0.0879 eV per atom
Total DFT energy (no corrections) = -4.633 eV/atom

a b c (Å): 2.560 2.560 8.779
angles (deg): 90.00 90.00 117.39
Atoms (fractional coordinates):
Li 0.000 0.000 0.240
Li 0.000 0.000 0.760
Ni 0.500 0.500 0.000
Ru 0.500 0.500 0.500

***

(19)
First-principles (GGA-PBE) data for a relaxed structure of MgC2N2, as listed in the Alexandria database.

DOS(E_F) = 0.0000 states/eV/atom
Total DFT energy (no corrections) = -7.434 eV/atom
ΔE_f (raw) = -9 kJ/mol of atoms

a b c (Å): 6.241 6.241 6.228
angles (deg): 90.00 90.00 90.00
Atoms (fractional coordinates):
Mg 0.000 0.000 0.000
Mg 0.500 0.500 0.500
C 0.202 0.202 0.202
C 0.298 0.702 0.702
C 0.702 0.298 0.702
C 0.798 0.798 0.202
N 0.190 0.810 0.810
N 0.310 0.310 0.310
N 0.690 0.690 0.310
N 0.810 0.190 0.810

***

(20)
First-principles (GGA-PBE) data for a relaxed structure of Tm7Al2Pt2, as listed in the Alexandria database.

DOS(E_F) = 0.8677 states/eV/atom
Energy of formation from the pure elements = -0.5056 eV per atom
Total DFT energy (no corrections) = -5.130 eV/atom

a b c (Å): 6.685 6.685 6.922
angles (deg): 90.00 90.00 106.89
Atoms (fractional coordinates):
Tm 0.000 0.000 0.000
Tm 0.000 0.500 0.260
Tm 0.000 0.500 0.740
Tm 0.500 0.000 0.260
Tm 0.500 0.000 0.740
Tm 0.500 0.500 0.254
Tm 0.500 0.500 0.746
Al 0.168 0.168 0.500
Al 0.832 0.832 0.500
Pt 0.289 0.711 0.000
Pt 0.711 0.289 0.000